VASP calculation (SCAN) on a PBEsol-optimized structure of LaZn2MoF.

Crystal system ... tetragonal
Density of states at the Fermi level ... 0.711 states/eV/atom
Uncorrected energy ... -110.5 eV per cell

abc: 4.927 4.927 4.081
angles: 90.00 90.00 90.00
Space group P4/mmm (No. 123)
Inequivalent atoms, fractional coordinates:
La: 0.000 0.000 0.000 x1
Zn: 0.000 0.500 0.500 x2
Mo: 0.500 0.500 0.500 x1
F: 0.500 0.500 0.000 x1